1.
Crystalline BeAlF3 at its relaxed geometry, computed with PBE.

energy above the most stable polymorph in this dataset	288.9	meV per atom
space group	No. 221
DOS at the Fermi energy	0.0	states/eV/f.u.
formation energy (no corrections)	-1.75	eV/atom

Cell lengths 3.8563, 3.8563, 3.8563 Å; angles 90.00, 90.00, 90.00 degrees
Last column: nearest neighbours and their distance in Å.
Element x y z (fractional)
Be (0.0000, 0.0000, 0.0000)  12 F 2.73
Al (0.5000, 0.5000, 0.5000)  6 F 1.93
F (0.0000, 0.5000, 0.5000)  2 Al 1.93
F (0.5000, 0.0000, 0.5000)  2 Al 1.93
F (0.5000, 0.5000, 0.0000)  2 Al 1.93



2.
Crystalline Sb2TeRu at its relaxed geometry, computed with PBE.

space group	No. 10
DOS at the Fermi energy	2.7	states/eV/f.u.
formation energy (no corrections)	0.00	eV/atom

Cell lengths 3.1886, 3.1830, 9.5620 Å; angles 90.00, 90.90, 90.00 degrees
Last column: nearest neighbours and their distance in Å.
Element x y z (fractional)
Sb (0.0089, 0.0000, 0.1775)  4 Ru 2.82
Sb (0.9911, 0.0000, 0.8225)  4 Ru 2.82
Te (0.5000, 0.5000, 0.5000)  4 Te 3.18-3.19
Ru (0.5000, 0.5000, 0.0000)  8 Sb 2.82



3.
Crystalline PmPaGaOs at its relaxed geometry, computed with PBE.

space group	No. 216
DOS at the Fermi energy	6.2	states/eV/f.u.
final energy	-7.23	eV per atom

Cell lengths 5.0010, 5.0010, 5.0010 Å; angles 60.00, 60.00, 60.00 degrees
Last column: nearest neighbours and their distance in Å.
Element x y z (fractional)
Pm (0.0000, 0.0000, 0.0000)  4 Ga 3.06, 4 Os 3.06
Pa (0.5000, 0.5000, 0.5000)  4 Os 3.06, 4 Ga 3.06
Ga (0.2500, 0.2500, 0.2500)  4 Pa 3.06, 4 Pm 3.06
Os (0.7500, 0.7500, 0.7500)  4 Pa 3.06, 4 Pm 3.06



4.
Crystalline CaTb4Tm at its relaxed geometry, computed with PBE.

energy above the most stable polymorph in this dataset	0.0	meV per atom
space group	No. 12
DOS at the Fermi energy	9.1	states/eV/f.u.

Cell lengths 8.8800, 8.8800, 6.3195 Å; angles 96.75, 96.75, 23.55 degrees
Last column: nearest neighbours and their distance in Å.
Element x y z (fractional)
Ca (0.0000, 0.0000, 0.0000)  6 Tb 3.60-3.64, 2 Ca 3.62, 4 Tm 3.64
Tb (0.1679, 0.1679, 0.3929)  9 Tb 3.47-3.69, 2 Tm 3.57, 1 Ca 3.60
Tb (0.3282, 0.3282, 0.1142)  9 Tb 3.44-3.69, 1 Tm 3.62, 2 Ca 3.64
Tb (0.6718, 0.6718, 0.8858)  9 Tb 3.44-3.69, 1 Tm 3.62, 2 Ca 3.64
Tb (0.8321, 0.8321, 0.6071)  9 Tb 3.47-3.69, 2 Tm 3.57, 1 Ca 3.60
Tm (0.5000, 0.5000, 0.5000)  6 Tb 3.57-3.62, 2 Tm 3.62, 4 Ca 3.64



5.
Crystalline TlGeAu at its relaxed geometry, computed with PBE.

space group	No. 2
DOS at the Fermi energy	1.1	states/eV/f.u.
final energy	-3.36	eV per atom

Cell lengths 3.5795, 4.5400, 10.5076 Å; angles 86.84, 89.99, 66.87 degrees
Last column: nearest neighbours and their distance in Å.
Element x y z (fractional)
Tl (0.1334, 0.2324, 0.3751)  3 Au 3.13-3.21, 2 Ge 3.32-3.33
Tl (0.8666, 0.7676, 0.6249)  3 Au 3.13-3.21, 2 Ge 3.32-3.33
Ge (0.4860, 0.5306, 0.8799)  1 Ge 2.52, 3 Au 2.57
Ge (0.5140, 0.4694, 0.1201)  1 Ge 2.52, 3 Au 2.57
Au (0.1842, 0.1326, 0.8131)  3 Ge 2.57
Au (0.8158, 0.8674, 0.1869)  3 Ge 2.57



6.
Crystalline LiMgTa2 at its relaxed geometry, computed with PBE.

space group	No. 123
DOS at the Fermi energy	3.7	states/eV/f.u.
final energy	-6.32	eV per atom

Cell lengths 2.7789, 2.7789, 9.1872 Å; angles 90.00, 90.00, 90.00 degrees
Last column: nearest neighbours and their distance in Å.
Element x y z (fractional)
Li (0.0000, 0.0000, 0.0000)  4 Li 2.78, 8 Ta 2.92
Mg (0.0000, 0.0000, 0.5000)  4 Mg 2.78
Ta (0.5000, 0.5000, 0.2356)  4 Ta 2.78, 4 Li 2.92
Ta (0.5000, 0.5000, 0.7644)  4 Ta 2.78, 4 Li 2.92



7.
Crystalline ReTcBr2 at its relaxed geometry, computed with PBE.

energy above the most stable polymorph in this dataset	1125.3	meV per atom
space group	No. 65
DOS at the Fermi energy	4.4	states/eV/f.u.
formation energy (no corrections)	1.32	eV/atom

Cell lengths 3.1349, 3.1349, 8.9743 Å; angles 90.00, 90.00, 123.80 degrees
Last column: nearest neighbours and their distance in Å.
Element x y z (fractional)
Re (0.0000, 0.0000, 0.0000)  4 Br 2.66, 2 Re 2.95
Tc (0.0000, 0.0000, 0.5000)  4 Br 2.71, 2 Tc 2.95
Br (0.5000, 0.5000, 0.2461)  2 Re 2.66, 2 Tc 2.71, 2 Br 2.95
Br (0.5000, 0.5000, 0.7539)  2 Re 2.66, 2 Tc 2.71, 2 Br 2.95



8.
Crystalline VCrPt at its relaxed geometry, computed with PBE.

energy above the most stable polymorph in this dataset	18.5	meV per atom
space group	No. 12
DOS at the Fermi energy	3.3	states/eV/f.u.

Cell lengths 4.8475, 4.8475, 6.4152 Å; angles 107.23, 107.23, 34.47 degrees
Last column: nearest neighbours and their distance in Å.
Element x y z (fractional)
V (0.0294, 0.0294, 0.2382)  4 Cr 2.43-2.56, 3 Pt 2.67-2.70
V (0.9706, 0.9706, 0.7618)  4 Cr 2.43-2.56, 3 Pt 2.67-2.70
Cr (0.3390, 0.3390, 0.9503)  2 Cr 2.42, 4 V 2.43-2.56, 2 Pt 2.66
Cr (0.6610, 0.6610, 0.0497)  2 Cr 2.42, 4 V 2.43-2.56, 2 Pt 2.66
Pt (0.3364, 0.3364, 0.3817)  3 Cr 2.66-2.77, 5 V 2.67-2.77, 5 Pt 2.87-2.94
Pt (0.6636, 0.6636, 0.6183)  3 Cr 2.66-2.77, 5 V 2.67-2.77, 5 Pt 2.87-2.94